No. 1
## MgCu2Se2 (PBE)

Data for a relaxed structure of MgCu2Se2.

Unit cell a=5.080 b=5.080 c=5.080 alpha=122.78 beta=120.71 gamma=87.01
Fractional positions:
Mg1 0.000 0.000 0.000
Cu1 0.252 0.500 0.752
Cu2 0.748 0.500 0.248
Se1 0.292 0.792 0.500
Se2 0.708 0.208 0.500

ρ (Mg/m³): 5.7
Electronic total energy (eV per atom): -3.41
Symmetry: Immm (71)
Raw formation energy (eV per atom): -0.059
Total magnetic moment (μB per formula unit): 0.0
D(E_F) (states/eV/f.u.): 2.121

=====

No. 2
## YHf2Ru3 (PBE)

Data for a relaxed structure of YHf2Ru3.

Unit cell a=3.282 b=3.282 c=9.985 alpha=90.00 beta=90.00 gamma=90.00
Fractional positions:
Y1 0.000 0.000 0.000
Hf1 0.000 0.000 0.336
Hf2 0.000 0.000 0.664
Ru1 0.500 0.500 0.185
Ru2 0.500 0.500 0.500
Ru3 0.500 0.500 0.815

ρ (Mg/m³): 11.6
Electronic total energy (eV per atom): -9.70
Symmetry: P4/mmm (123)
Calculated formation energy (eV per atom): -0.67
Total magnetic moment (μB per formula unit): 0.0
D(E_F) (states/eV/f.u.): 0.895